Record 1
This record from Alexandria describes a relaxed PrEr5Ru6 crystal. The functional is PBE.

## Properties
The total energy is -7.25 eV per atom. The theoretical density comes out at 11.19 Mg/m³. As for the formation enthalpy at 0 K: -365 kJ/mol of formula units.

extended XYZ file:
```
12
Lattice="-2.402 3.402 7.192 2.402 -3.402 7.192 2.402 3.402 -7.192" Properties=species:S:1:pos:R:3 pbc="T T T"
Pr 0.000 0.000 0.000
Er 2.402 0.000 2.441
Er 0.000 0.000 4.797
Er 0.000 3.402 0.000
Er 0.000 0.000 9.587
Er 0.000 3.402 4.751
Ru 2.402 -1.686 4.770
Ru 2.402 1.732 0.000
Ru 0.000 1.715 2.422
Ru 2.402 1.686 4.770
Ru 0.000 1.669 7.192
Ru 0.000 5.088 2.422
```

Record 2
This record from Alexandria describes a relaxed CoHgIrN2 crystal. The functional is PBE.

## Properties
The total energy is -4.93 eV per atom. The theoretical density comes out at 11.01 Mg/m³. As for the energy relative to the elements, uncorrected: 1.65 eV/atom.

extended XYZ file:
```
5
Lattice="3.681 0.000 0.000 0.000 3.681 0.000 0.000 0.000 5.338" Properties=species:S:1:pos:R:3 pbc="T T T"
Co 0.000 0.000 0.000
Hg 0.000 0.000 2.669
Ir 1.841 1.841 2.669
N 0.000 1.841 0.000
N 1.841 0.000 0.000
```

Record 3
This record from Alexandria describes a relaxed SiMoCl2 crystal. The functional is PBE.

## Properties
The total energy is -4.29 eV per atom. The theoretical density comes out at 4.81 Mg/m³. The value obtained for the distance to the lowest polymorph of the same formula is 1039 meV/atom. As for the energy relative to the elements, uncorrected: 0.70 eV/atom.

extended XYZ file:
```
4
Lattice="-2.081 2.081 3.887 2.081 -2.081 3.887 2.081 2.081 -3.887" Properties=species:S:1:pos:R:3 pbc="T T T"
Si 0.000 0.000 0.000
Mo 0.000 2.081 1.943
Cl 2.081 0.000 1.943
Cl 0.000 0.000 3.887
```

| no. | total magnetization (μB/cell) |
| --- | --- |
| 1 | 0.00 |
| 2 | 0.00 |
| 3 | 0.79 |